Zn3GeS4: relaxed, PBE.

Output
Calculated total energy, eV per atom: -3.674

Cell: 6.7989 6.7989 6.7989 Å, 131.00 131.00 71.81°
With the nearest neighbours (Å) after each atom.
Fractional positions:
S (0.4043, 0.8637, 0.0000)  3 Zn 2.35-2.37, 1 Ge 2.61
S (0.8637, 0.4043, 0.0000)  3 Zn 2.35-2.37, 1 Ge 2.61
Ge (0.0000, 0.0000, 0.0000)  4 S 2.61
Zn (0.2500, 0.7500, 0.5000)  4 S 2.37
S (0.1363, 0.1363, 0.5406)  3 Zn 2.35-2.37, 1 Ge 2.61
Zn (0.5000, 0.5000, 0.0000)  4 S 2.35
Zn (0.7500, 0.2500, 0.5000)  4 S 2.37
S (0.5957, 0.5957, 0.4594)  3 Zn 2.35-2.37, 1 Ge 2.61

---

TmLuAlTe3: relaxed, PBE.

Output
Size of the total moment, μB/f.u.: 0.009
Energy above the lowest structure with this stoichiometry, meV per atom: 2
Calculated total energy, eV per atom: -4.519

Cell: 7.8358 7.8358 10.3916 Å, 90.00 90.00 150.21°
With the nearest neighbours (Å) after each atom.
Fractional positions:
Te (0.3767, 0.6233, 0.2500)  2 Al 2.98, 2 Tm 3.17, 2 Lu 3.20
Lu (0.5000, 0.5000, 0.5000)  6 Te 3.09-3.20, 4 Al 3.30
Te (0.8483, 0.1517, 0.9543)  1 Al 2.89, 2 Tm 3.08, 2 Lu 3.09
Tm (0.7153, 0.2847, 0.2500)  6 Te 3.08-3.17
Te (0.1517, 0.8483, 0.0457)  1 Al 2.89, 2 Tm 3.08, 2 Lu 3.09
Te (0.8483, 0.1517, 0.5457)  1 Al 2.89, 2 Tm 3.08, 2 Lu 3.09
Tm (0.2847, 0.7153, 0.7500)  6 Te 3.08-3.17
Te (0.1517, 0.8483, 0.4543)  1 Al 2.89, 2 Tm 3.08, 2 Lu 3.09
Al (0.9781, 0.0218, 0.7500)  4 Te 2.89-2.98
Al (0.0218, 0.9781, 0.2500)  4 Te 2.89-2.98
Te (0.6233, 0.3767, 0.7500)  2 Al 2.98, 2 Tm 3.17, 2 Lu 3.20
Lu (0.5000, 0.5000, 0.0000)  6 Te 3.09-3.20, 4 Al 3.30

---

LiInCoCu: relaxed, PBE.

Output
Size of the total moment, μB/f.u.: 0.001
Energy above the lowest structure with this stoichiometry, meV per atom: 0
Calculated total energy, eV per atom: -3.847

Cell: 4.2515 4.2515 4.2515 Å, 60.00 60.00 60.00°
With the nearest neighbours (Å) after each atom.
Fractional positions:
Co (0.0000, 0.0000, 0.0000)  4 In 2.60, 4 Cu 2.60
Cu (0.7500, 0.7500, 0.7500)  4 Co 2.60, 4 Li 2.60
In (0.2500, 0.2500, 0.2500)  4 Co 2.60, 4 Li 2.60
Li (0.5000, 0.5000, 0.5000)  4 In 2.60, 4 Cu 2.60

---

TlNiAgPt: relaxed, PBE.

Output
Size of the total moment, μB/f.u.: 0.003
Calculated total energy, eV per atom: -4.068

Cell: 4.5654 4.5654 4.5654 Å, 60.00 60.00 60.00°
With the nearest neighbours (Å) after each atom.
Fractional positions:
Pt (0.2500, 0.2500, 0.2500)  4 Ag 2.80, 4 Tl 2.80
Ag (0.5000, 0.5000, 0.5000)  4 Ni 2.80, 4 Pt 2.80
Tl (0.0000, 0.0000, 0.0000)  4 Ni 2.80, 4 Pt 2.80
Ni (0.7500, 0.7500, 0.7500)  4 Ag 2.80, 4 Tl 2.80